{"formula": "CaIn2Mo", "functional": "PBE", "state": "optimized geometry", "lattice_angstrom": [[-2.233, -2.270, 4.307], [3.338, -3.803, 1.755], [0.877, 5.152, -1.172]], "species": ["In", "In", "Ca", "Mo"], "frac_coords": [[0.000, 0.000, 0.000], [0.500, 0.500, 0.000], [0.250, 0.750, 0.500], [0.750, 0.250, 0.500]], "space_group": "No. 139", "polymorph_energy_mev_per_atom": 93.8, "mass_density_g_cm3": 7.0, "formation_energy_kj_per_mol_fu": 76}

{"formula": "Ca2InMo", "functional": "PBE", "state": "optimized geometry", "lattice_angstrom": [[-3.777, 1.002, -2.804], [-1.954, -0.818, 2.339], [-1.897, 5.241, 4.426]], "species": ["Ca", "Ca", "Mo", "In"], "frac_coords": [[0.000, 0.010, 0.989], [0.000, 0.490, 0.511], [0.500, 0.750, 0.750], [0.500, 0.250, 0.250]], "space_group": "No. 10", "mass_density_g_cm3": 5.0, "formation_energy_kj_per_mol_fu": 165}

{"formula": "Ca4InMo", "functional": "PBE", "state": "optimized geometry", "lattice_angstrom": [[5.125, -3.594, 1.452], [1.876, -0.597, 6.117], [-0.764, -5.597, 3.063]], "species": ["In", "Ca", "Ca", "Ca", "Ca", "Mo"], "frac_coords": [[0.750, 0.750, 0.750], [0.876, 0.375, 0.375], [0.375, 0.876, 0.375], [0.375, 0.375, 0.876], [0.375, 0.375, 0.375], [0.000, 0.000, 0.000]], "space_group": "No. 216", "mass_density_g_cm3": 3.3, "formation_energy_kj_per_mol_fu": 463}

{"formula": "Ca3InMo", "functional": "PBE", "state": "optimized geometry", "lattice_angstrom": [[5.554, 0.000, 0.000], [0.000, 5.554, 0.000], [0.000, 0.000, 5.554]], "species": ["Ca", "Ca", "Ca", "In", "Mo"], "frac_coords": [[0.500, 0.000, 0.000], [0.000, 0.000, 0.500], [0.000, 0.500, 0.000], [0.500, 0.500, 0.500], [0.000, 0.000, 0.000]], "space_group": "No. 221", "polymorph_energy_mev_per_atom": 0.0, "mass_density_g_cm3": 3.2, "formation_energy_kj_per_mol_fu": 340}

{"formula": "Ca2InMo", "functional": "PBE", "state": "optimized geometry", "lattice_angstrom": [[6.228, 0.119, 0.099], [2.784, 5.573, -0.099], [-4.025, -3.608, 3.098]], "species": ["Ca", "Ca", "In", "Mo"], "frac_coords": [[0.018, 0.018, 0.000], [0.733, 0.233, 0.500], [0.472, 0.472, 0.000], [0.278, 0.778, 0.500]], "space_group": "No. 44", "mass_density_g_cm3": 4.6, "formation_energy_kj_per_mol_fu": 144}

{"formula": "CaIn2Mo", "functional": "PBE", "state": "optimized geometry", "lattice_angstrom": [[1.998, -3.907, 2.462], [0.308, 0.081, 5.022], [-2.945, -3.013, 2.751]], "species": ["Mo", "In", "In", "Ca"], "frac_coords": [[0.500, 0.500, 0.500], [0.250, 0.250, 0.250], [0.750, 0.750, 0.750], [0.000, 0.000, 0.000]], "space_group": "No. 225", "polymorph_energy_mev_per_atom": 128.9, "mass_density_g_cm3": 6.7, "formation_energy_kj_per_mol_fu": 89}

{"formula": "Ca2InMo", "functional": "PBE", "state": "optimized geometry", "lattice_angstrom": [[3.179, -0.016, 0.000], [-0.371, 3.158, 0.000], [0.000, 0.000, 10.169]], "species": ["Ca", "Ca", "In", "Mo"], "frac_coords": [[0.500, 0.500, 0.287], [0.000, 0.000, 0.955], [0.000, 0.000, 0.531], [0.500, 0.500, 0.726]], "space_group": "No. 35", "mass_density_g_cm3": 4.7, "formation_energy_kj_per_mol_fu": 148}

{"formula": "Ca2InMo", "functional": "PBE", "state": "optimized geometry", "lattice_angstrom": [[-2.403, 2.443, 1.312], [-2.777, -2.089, -1.196], [-0.110, -3.973, 7.195]], "species": ["Ca", "Ca", "In", "Mo"], "frac_coords": [[0.000, 0.000, 0.936], [0.500, 0.500, 0.311], [0.000, 0.000, 0.559], [0.500, 0.500, 0.694]], "space_group": "No. 99", "mass_density_g_cm3": 4.4, "formation_energy_kj_per_mol_fu": 128}